The following is a DFT calculation (GGA-PBEsol) of K2CuAs after structural relaxation.

Geometry as POSCAR:
```
K2CuAs
1.0
4.306 0.000 0.000
0.000 5.686 0.000
-2.153 -2.843 4.678
K As Cu
2 1 1
Direct
0.969 0.969 0.938 K
0.789 0.289 0.578 K
0.585 0.585 0.170 As
0.157 0.657 0.314 Cu
```

Values from the calculation:
**Total magnetization**: 0.00 μB per atom
**Energy**: -12.7 eV/cell
**E_form**: -0.97 eV per formula unit

The following is a DFT calculation (GGA-PBEsol) of KMnCu2As after structural relaxation.

Geometry as POSCAR:
```
KMnCu2As
1.0
4.678 0.000 0.000
0.000 4.641 0.000
0.000 0.000 4.641
Cu K As Mn
2 1 1 1
Direct
0.000 0.500 0.000 Cu
0.000 0.000 0.500 Cu
0.500 0.500 0.500 K
0.000 0.000 0.000 As
0.500 0.000 0.000 Mn
```

Values from the calculation:
**Total magnetization**: 0.64 μB per atom
**Energy**: -22.3 eV/cell
**E_form**: 2.35 eV per formula unit
**DOS at the Fermi energy**: 2.6 states/eV/f.u.

The following is a DFT calculation (GGA-PBEsol) of K2Cu3As4O12 after structural relaxation.

Geometry as POSCAR:
```
K2Cu3As4O12
1.0
5.394 0.000 0.000
2.697 5.190 0.050
2.697 1.093 10.503
Cu O As K
3 12 4 2
Direct
0.000 0.000 0.000 Cu
0.765 0.228 0.243 Cu
0.235 0.772 0.757 Cu
0.857 0.425 0.862 O
0.882 0.873 0.883 O
0.118 0.127 0.117 O
0.143 0.575 0.138 O
0.362 0.873 0.883 O
0.596 0.649 0.644 O
0.404 0.351 0.356 O
0.889 0.351 0.356 O
0.908 0.825 0.358 O
0.111 0.649 0.644 O
0.638 0.127 0.117 O
0.092 0.175 0.642 O
0.670 0.700 0.959 As
0.918 0.471 0.692 As
0.330 0.300 0.041 As
0.082 0.529 0.308 As
0.638 0.146 0.577 K
0.362 0.854 0.423 K
```

Values from the calculation:
**Raw formation energy**: -1.1660 eV/atom
**Total magnetization**: 0.05 μB per atom
**Energy**: -123.2 eV/cell
**DOS at the Fermi energy**: 1.3 states/eV/f.u.

The following is a DFT calculation (GGA-PBEsol) of KCu4As3O12 after structural relaxation.

Geometry as POSCAR:
```
KCu4As3O12
1.0
7.393 0.025 0.029
-2.893 8.203 -0.008
-2.893 -1.171 8.119
O K As Cu
24 2 6 8
Direct
0.681 0.502 0.274 O
0.377 0.318 0.979 O
0.308 0.022 0.415 O
0.123 0.021 0.682 O
0.192 0.585 0.978 O
0.877 0.979 0.318 O
0.692 0.978 0.585 O
0.239 0.518 0.276 O
0.133 0.184 0.174 O
0.819 0.726 0.498 O
0.633 0.174 0.184 O
0.808 0.415 0.022 O
0.261 0.724 0.482 O
0.469 0.847 0.247 O
0.181 0.274 0.502 O
0.623 0.682 0.021 O
0.367 0.826 0.816 O
0.739 0.276 0.518 O
0.319 0.498 0.726 O
0.531 0.153 0.753 O
0.031 0.753 0.153 O
0.969 0.247 0.847 O
0.867 0.816 0.826 O
0.761 0.482 0.724 O
0.750 0.009 0.991 K
0.250 0.991 0.009 K
0.750 0.274 0.726 As
0.623 0.354 0.111 As
0.250 0.726 0.274 As
0.123 0.111 0.354 As
0.377 0.646 0.889 As
0.877 0.889 0.646 As
0.750 0.738 0.262 Cu
0.142 0.381 0.069 Cu
0.250 0.505 0.495 Cu
0.642 0.069 0.381 Cu
0.750 0.495 0.505 Cu
0.250 0.262 0.738 Cu
0.358 0.931 0.619 Cu
0.858 0.619 0.931 Cu
```

Values from the calculation:
**Raw formation energy**: -1.0072 eV/atom
**Total magnetization**: 0.10 μB per atom
**Energy**: -233.8 eV/cell
**DOS at the Fermi energy**: 1.4 states/eV/f.u.

The following is a DFT calculation (GGA-PBEsol) of La4Cu5As8 after structural relaxation.

Geometry as POSCAR:
```
La4Cu5As8
1.0
5.744 0.000 0.000
0.000 5.747 0.000
-2.872 0.000 9.970
As Cu La
8 5 4
Direct
0.178 0.000 0.356 As
0.677 0.500 0.355 As
0.235 0.235 0.002 As
0.318 0.500 0.635 As
0.235 0.765 0.002 As
0.825 0.000 0.650 As
0.767 0.235 0.002 As
0.767 0.765 0.002 As
0.993 0.243 0.500 Cu
0.507 0.757 0.500 Cu
0.507 0.243 0.500 Cu
0.439 0.500 0.878 Cu
0.993 0.757 0.500 Cu
0.122 0.500 0.244 La
0.378 0.000 0.756 La
0.878 0.500 0.756 La
0.621 0.000 0.243 La
```

Values from the calculation:
**Total magnetization**: 0.00 μB per atom
**Energy**: -98.3 eV/cell
**E_form**: -14.35 eV per formula unit
**DOS at the Fermi energy**: 2.7 states/eV/f.u.

The following is a DFT calculation (GGA-PBEsol) of LaCuAs4 after structural relaxation.

Geometry as POSCAR:
```
LaCuAs4
1.0
5.551 0.000 0.000
2.776 4.807 0.000
2.776 1.602 4.532
La Cu As
1 1 4
Direct
0.000 0.000 0.000 La
0.750 0.750 0.750 Cu
0.379 0.379 0.864 As
0.379 0.379 0.379 As
0.379 0.864 0.379 As
0.864 0.379 0.379 As
```

Values from the calculation:
**Total magnetization**: 0.00 μB per atom
**Energy**: -30.9 eV/cell
**E_form**: -0.79 eV per formula unit
**DOS at the Fermi energy**: 2.6 states/eV/f.u.

The following is a DFT calculation (GGA-PBEsol) of LiCuAs after structural relaxation.

Geometry as POSCAR:
```
LiCuAs
1.0
-2.074 -1.585 2.069
2.133 0.486 2.511
-1.693 3.761 -1.498
Cu Li As
1 1 1
Direct
0.666 0.666 0.331 Cu
0.332 0.332 0.664 Li
0.002 0.002 0.005 As
```

Values from the calculation:
**Total magnetization**: 0.00 μB per atom
**Energy**: -12.1 eV/cell
**E_form**: -0.66 eV per formula unit
**DOS at the Fermi energy**: 0.6 states/eV/f.u.

The following is a DFT calculation (GGA-PBEsol) of Li2CuAs after structural relaxation.

Geometry as POSCAR:
```
Li2CuAs
1.0
-1.998 -0.393 -1.914
0.342 -4.518 0.570
-3.083 1.797 2.850
Cu Li As
1 2 1
Direct
0.500 0.500 0.500 Cu
0.000 0.500 0.000 Li
0.000 0.000 0.500 Li
0.500 0.000 0.000 As
```

Values from the calculation:
**Total magnetization**: 0.00 μB per atom
**Energy**: -14.4 eV/cell
**E_form**: -1.06 eV per formula unit
**DOS at the Fermi energy**: 1.3 states/eV/f.u.